1.
Computed, not measured: a relaxed PtPbCl2 crystal at the GGA-PBE level of DFT.

Cell: 3.4379 5.6808 4.5001 Å, 90.00 90.00 90.00°
Positions (direct):
Pb1 0.5000 0.0000 0.5000
Pt1 0.0000 0.5000 0.5000
Cl1 0.0000 0.0000 0.0000
Cl2 0.5000 0.5000 0.0000

## Properties
Volume: 88 Å³ per cell
Total moment: 0.0000 μB/atom
Formation energy without anion corrections: -1.41 kcal/mol of atoms
Final energy: -3.422 eV/atom

2.
Computed, not measured: a relaxed Pt2Pb2Cl crystal at the GGA-PBE level of DFT.

Cell: 3.9092 3.9092 8.5209 Å, 76.74 76.74 90.00°
Positions (direct):
Pb1 0.3813 0.3813 0.2375
Pb2 0.6187 0.6187 0.7625
Pt1 0.7500 0.2500 0.5000
Pt2 0.2500 0.7500 0.5000
Cl1 0.0000 0.0000 0.0000

## Properties
Volume: 123 Å³ per cell
Total moment: 0.0000 μB/atom
Formation energy without anion corrections: -8.94 kcal/mol of atoms
Final energy: -4.656 eV/atom

3.
Computed, not measured: a relaxed PtPb2Cl crystal at the GGA-PBE level of DFT.

Cell: 9.0316 9.0316 9.0316 Å, 23.71 23.71 23.71°
Positions (direct):
Cl1 0.7623 0.7623 0.7623
Pb1 0.0089 0.0089 0.0089
Pb2 0.2294 0.2294 0.2294
Pt1 0.4994 0.4994 0.4994

## Properties
Volume: 105 Å³ per cell
Total moment: 0.0000 μB/atom
Formation energy without anion corrections: -2.59 kcal/mol of atoms
Final energy: -3.938 eV/atom

4.
Computed, not measured: a relaxed PtPb3Cl crystal at the GGA-PBE level of DFT.

Cell: 5.4751 5.4751 5.4751 Å, 90.00 90.00 90.00°
Positions (direct):
Pb1 0.0000 0.5000 0.0000
Pb2 0.0000 0.0000 0.5000
Pb3 0.5000 0.0000 0.0000
Pt1 0.0000 0.0000 0.0000
Cl1 0.5000 0.5000 0.5000

## Properties
Volume: 164 Å³ per cell
Total moment: 0.0000 μB/atom
Formation energy without anion corrections: -1.15 kcal/mol of atoms
Final energy: -3.853 eV/atom

5.
Computed, not measured: a relaxed PtPbCl2 crystal at the GGA-PBE level of DFT.

Cell: 7.5516 7.5516 4.1470 Å, 74.19 74.19 26.86°
Positions (direct):
Pb1 0.5655 0.5655 0.4338
Pt1 0.2268 0.2268 0.2744
Cl1 0.9716 0.9716 0.0268
Cl2 0.7361 0.7361 0.7650

## Properties
Volume: 103 Å³ per cell
Total moment: 0.0000 μB/atom
Formation energy without anion corrections: -5.40 kcal/mol of atoms
Final energy: -3.595 eV/atom

6.
Computed, not measured: a relaxed PtPbCl2 crystal at the GGA-PBE level of DFT.

Cell: 3.7001 3.7001 8.9484 Å, 90.00 90.00 124.62°
Positions (direct):
Pb1 0.5000 0.5000 0.2500
Pt1 0.5000 0.5000 0.7500
Cl1 0.0000 0.0000 0.9342
Cl2 0.0000 0.0000 0.5658

## Properties
Volume: 101 Å³ per cell
Total moment: 0.0000 μB/atom
Formation energy without anion corrections: -1.95 kcal/mol of atoms
Final energy: -3.445 eV/atom

Question: Which value of final energy does entry 6 give?
Answer: -3.445 eV/atom

What did the second record say?
Computed, not measured: a relaxed Pt2Pb2Cl crystal at the GGA-PBE level of DFT.

Cell: 3.9092 3.9092 8.5209 Å, 76.74 76.74 90.00°
Positions (direct):
Pb1 0.3813 0.3813 0.2375
Pb2 0.6187 0.6187 0.7625
Pt1 0.7500 0.2500 0.5000
Pt2 0.2500 0.7500 0.5000
Cl1 0.0000 0.0000 0.0000

## Properties
Volume: 123 Å³ per cell
Total moment: 0.0000 μB/atom
Formation energy without anion corrections: -8.94 kcal/mol of atoms
Final energy: -4.656 eV/atom